No. 1
# CsSn3Te PBE optimized geometry
# ΔE_f (raw): 1.4 eV per formula unit
# calculated volume: 44.3 A^3/atom
# N(E_F): 0.89 states/eV/atom
# ΔE to the lowest computed polymorph: 0.0000 eV/atom
data_CsSn3Te
_chemical_formula_sum 'Cs1 Sn3 Te1'
_cell_length_a 6.0484
_cell_length_b 6.0484
_cell_length_c 6.0484
_cell_angle_alpha 90.00
_cell_angle_beta 90.00
_cell_angle_gamma 90.00
_space_group_name_H-M_alt 'P m -3 m'
_space_group_IT_number 221
_space_group_name_Hall '-P 4 2 3'
loop_
_atom_site_label
_atom_site_fract_x
_atom_site_fract_y
_atom_site_fract_z
Cs1 0.0000 0.0000 0.0000
Sn1 0.0000 0.5000 0.5000
Te1 0.5000 0.5000 0.5000

---

No. 2
# Cs2Sn2Te5 PBE optimized geometry
# ΔE_f (raw): -4.2 eV per formula unit
# calculated volume: 46.7 A^3/atom
# N(E_F): 0.06 states/eV/atom
# ΔE to the lowest computed polymorph: 0.0000 eV/atom
data_Cs2Sn2Te5
_chemical_formula_sum 'Cs8 Sn8 Te20'
_cell_length_a 26.3552
_cell_length_b 9.3115
_cell_length_c 7.0765
_cell_angle_alpha 90.00
_cell_angle_beta 104.39
_cell_angle_gamma 90.00
_space_group_name_H-M_alt 'C 1 c 1'
_space_group_IT_number 9
loop_
_space_group_symop_operation_xyz
'x,y,z'
'x,-y,z+1/2'
'x+1/2,y+1/2,z'
'x+1/2,-y+1/2,z+1/2'
loop_
_atom_site_label
_atom_site_fract_x
_atom_site_fract_y
_atom_site_fract_z
Cs1 0.0000 0.2297 0.0000
Cs2 0.2185 0.2688 0.2034
Sn1 0.1482 0.2527 0.6299
Sn2 0.3525 0.1488 0.7354
Te1 0.1096 0.4982 0.8461
Te2 0.1180 0.0011 0.8546
Te3 0.2609 0.3123 0.7488
Te4 0.3576 0.1437 0.3397
Te5 0.4311 0.3141 0.9363